Record 1
Compound: La2NiGeH
Source: Alexandria
Functional: PBE
Structure: relaxed

Lattice parameters (Å, degrees): 5.261 5.261 3.623 90.00 90.00 90.00
Element x y z (fractional)
Ni: 0.000 0.000 0.500
Ge: 0.500 0.500 0.500
H: 0.000 0.000 0.000
La: 0.000 0.500 0.000
La: 0.500 0.000 0.000

Summary:
- DOS(E_F) (states/eV per cell) = 2.763
- density (Mg/m³) = 6.793
- space-group type = No. 123

=====

Record 2
Compound: NaZr2Co
Source: Alexandria
Functional: PBE
Structure: relaxed

Lattice parameters (Å, degrees): 7.484 7.484 6.075 51.98 51.98 90.00
Element x y z (fractional)
Na: 0.500 0.500 0.000
Na: 0.250 0.750 0.500
Co: 0.000 0.000 0.000
Co: 0.750 0.250 0.500
Zr: 0.681 0.125 0.250
Zr: 0.069 0.625 0.250
Zr: 0.375 0.319 0.750
Zr: 0.875 0.931 0.750

Summary:
- DOS(E_F) (states/eV per cell) = 5.827
- density (Mg/m³) = 5.255
- DFT formation energy (eV per atom) = 0.478
- space-group type = No. 122

=====

Record 3
Compound: Nd5Bi4N
Source: Alexandria
Functional: PBE
Structure: relaxed

Lattice parameters (Å, degrees): 6.478 7.671 7.671 79.73 65.02 65.02
Element x y z (fractional)
Nd: 0.905 0.354 0.838
Nd: 0.259 0.838 0.646
Nd: 0.743 0.162 0.354
Nd: 0.097 0.646 0.162
Nd: 0.421 0.000 0.000
Bi: 0.420 0.393 0.776
Bi: 0.814 0.776 0.607
Bi: 0.196 0.224 0.393
Bi: 0.589 0.607 0.224
N: 0.065 0.000 0.000

Summary:
- DOS(E_F) (states/eV per cell) = 2.315
- density (Mg/m³) = 8.329
- energy relative to the elements, uncorrected (kcal/mol of atoms) = -19.97
- space-group type = No. 79

=====

Record 4
Compound: Nb2BiPt
Source: Alexandria
Functional: PBE
Structure: relaxed

Lattice parameters (Å, degrees): 7.576 7.576 6.100 51.61 51.61 90.00
Element x y z (fractional)
Nb: 0.599 0.125 0.250
Nb: 0.151 0.625 0.250
Nb: 0.375 0.401 0.750
Nb: 0.875 0.849 0.750
Bi: 0.000 0.000 0.000
Bi: 0.750 0.250 0.500
Pt: 0.500 0.500 0.000
Pt: 0.250 0.750 0.500

Summary:
- DOS(E_F) (states/eV per cell) = 5.827
- density (Mg/m³) = 11.702
- DFT formation energy (eV per atom) = 0.194
- space-group type = No. 122

=====

Record 5
Compound: LiGaS2N
Source: Alexandria
Functional: PBE
Structure: relaxed

Lattice parameters (Å, degrees): 4.566 4.566 3.560 90.00 90.00 90.00
Element x y z (fractional)
S: 0.000 0.500 0.000
S: 0.500 0.000 0.000
Li: 0.000 0.000 0.000
Ga: 0.500 0.500 0.500
N: 0.000 0.000 0.500

Summary:
- DOS(E_F) (states/eV per cell) = 4.154
- density (Mg/m³) = 3.463
- energy relative to the elements, uncorrected (kcal/mol of atoms) = 21.09
- space-group type = No. 123

=====

Record 6
Compound: Cs2AcI6
Source: Alexandria
Functional: PBE
Structure: relaxed

Lattice parameters (Å, degrees): 5.875 9.436 10.176 117.62 100.76 90.00
Element x y z (fractional)
Cs: 0.355 0.333 0.667
Cs: 0.645 0.667 0.333
Ac: 0.000 0.000 0.000
I: 0.868 0.074 0.703
I: 0.132 0.372 0.297
I: 0.132 0.926 0.297
I: 0.500 0.204 0.000
I: 0.868 0.628 0.703
I: 0.500 0.796 0.000

Summary:
- DOS(E_F) (states/eV per cell) = 7.857
- density (Mg/m³) = 4.263
- energy relative to the elements, uncorrected (kcal/mol of atoms) = -30.32
- space-group type = No. 12

=====

Record 7
Compound: Ac4BiAs3
Source: Alexandria
Functional: PBE
Structure: relaxed

Lattice parameters (Å, degrees): 6.564 6.564 6.564 90.00 90.00 90.00
Element x y z (fractional)
As: 0.000 0.500 0.500
As: 0.500 0.000 0.500
As: 0.500 0.500 0.000
Ac: 0.500 0.000 0.000
Ac: 0.000 0.500 0.000
Ac: 0.000 0.000 0.500
Ac: 0.500 0.500 0.500
Bi: 0.000 0.000 0.000

Summary:
- DOS(E_F) (states/eV per cell) = 1.186
- density (Mg/m³) = 7.879
- DFT formation energy (eV per atom) = -1.309
- space-group type = No. 221

=====

Record 8
Compound: CrReAsPd2
Source: Alexandria
Functional: PBE
Structure: relaxed

Lattice parameters (Å, degrees): 4.864 4.616 4.864 90.00 90.00 90.00
Last column: magnetic moment on the atom in μB.
Element x y z (fractional)
Re: 0.000 0.000 0.000  -0.03
As: 0.000 0.500 0.000  0.01
Pd: 0.000 0.000 0.500  -0.02
Pd: 0.500 0.000 0.000  0.00
Cr: 0.500 0.500 0.500  0.41

Summary:
- DOS(E_F) (states/eV per cell) = 8.122
- density (Mg/m³) = 7.997
- DFT formation energy (eV per atom) = 1.497
- space-group type = No. 123

=====

no.,DFT total energy (eV per atom),volume (Å³ per cell),size of the total moment (μB/f.u.)
1,-5.20,100,0.00
2,-5.90,167,0.00
3,-5.63,313,0.00
4,-7.32,167,0.00
5,-3.39,74,0.00
6,-2.99,489,0.00
7,-5.59,283,0.00
8,-5.92,109,0.43